DFT (PBE-GGA) results for crystalline Sr2Zn3InAg4 at its relaxed geometry.

space-group type	P-4m2 (115)
DOS(E_F)	5.59	states/eV/cell
formation energy from the elements	-0.22	eV per atom

Structure (POSCAR):
```
Sr2Zn3InAg4
1.0
4.6453 0.0000 0.0000
0.0000 4.6453 0.0000
0.0000 0.0000 10.8485
Sr Zn In Ag
2 3 1 4
direct
0.5000 0.0000 0.2414 Sr
0.0000 0.5000 0.7586 Sr
0.0000 0.0000 0.5000 Zn
0.5000 0.0000 0.8813 Zn
0.0000 0.5000 0.1187 Zn
0.5000 0.5000 0.5000 In
0.5000 0.5000 0.0000 Ag
0.0000 0.0000 0.0000 Ag
0.5000 0.0000 0.6424 Ag
0.0000 0.5000 0.3576 Ag
```